## YAsPb2 (SCAN)

Data for YAsPb2 at its PBEsol-relaxed geometry.

* calculated density: 9.54 Mg/m³
* uncorrected energy: -201.458 eV per formula unit
* energy of formation from the pure elements: -1.86 eV per formula unit
* D(E_F): 2.3 states/eV/f.u.
* symmetry: No. 123

Unit cell a=4.376 b=4.383 c=5.245 alpha=90.00 beta=90.00 gamma=90.00
Fractional coordinates of all 4 atoms:
Pb1 0.000 0.000 0.000
Pb2 0.500 0.500 0.000
Y1 0.500 0.000 0.500
As1 0.000 0.500 0.500